1.
A relaxed structure of HgSe, computed with PBE-GGA.

a = 6.582 Å, b = 6.582 Å, c = 6.582 Å
α = 26.16°, β = 26.16°, γ = 26.16°
Sites, in units of the cell vectors:
Hg  0.000  0.000  0.000
Se  0.500  0.500  0.500

## Properties
**Formation energy from raw total energies**: 0.31 eV per atom
**Volume**: 24.42 Å³/atom
**Density of states at the Fermi level**: 0.91 states/eV/atom
**Magnetization**: 0.0 μB/cell

---

2.
A relaxed structure of CsAlI2O, computed with PBE-GGA.

a = 6.348 Å, b = 6.348 Å, c = 3.610 Å
α = 90.00°, β = 90.00°, γ = 90.00°
Sites, in units of the cell vectors:
Cs  0.000  0.000  0.000
Al  0.500  0.500  0.500
I  0.000  0.500  0.500
I  0.500  0.000  0.500
O  0.500  0.500  0.000

## Properties
**Formation energy from raw total energies**: -1.25 eV per atom
**Energy above the most stable polymorph in this dataset**: 0 meV/atom
**Volume**: 29.10 Å³/atom
**Density of states at the Fermi level**: 0.31 states/eV/atom
**Magnetization**: 0.0 μB/cell

---

3.
A relaxed structure of YTm3Sc2S6, computed with PBE-GGA.

a = 8.501 Å, b = 8.501 Å, c = 7.639 Å
α = 102.91°, β = 102.91°, γ = 25.88°
Sites, in units of the cell vectors:
Y  0.000  0.000  0.000
Tm  0.000  0.000  0.500
Tm  0.335  0.335  0.169
Tm  0.665  0.665  0.831
Sc  0.333  0.333  0.666
Sc  0.667  0.667  0.334
S  0.169  0.169  0.091
S  0.169  0.169  0.578
S  0.497  0.497  0.744
S  0.503  0.503  0.256
S  0.831  0.831  0.422
S  0.831  0.831  0.909

## Properties
**Formation energy from raw total energies**: -1.91 eV per atom
**Volume**: 19.54 Å³/atom
**Density of states at the Fermi level**: 0.46 states/eV/atom
**Magnetization**: 0.0 μB/cell

---

4.
A relaxed structure of HoCd2P2Pt7, computed with PBE-GGA.

a = 3.989 Å, b = 3.989 Å, c = 13.978 Å
α = 95.52°, β = 95.52°, γ = 89.96°
Sites, in units of the cell vectors:
Ho  0.000  0.000  0.000
Cd  0.094  0.094  0.403
Cd  0.906  0.906  0.597
P  0.418  0.418  0.747
P  0.582  0.582  0.253
Pt  0.051  0.552  0.158
Pt  0.404  0.404  0.585
Pt  0.448  0.949  0.842
Pt  0.500  0.500  0.000
Pt  0.552  0.051  0.158
Pt  0.596  0.596  0.415
Pt  0.949  0.448  0.842

## Properties
**Volume**: 18.36 Å³/atom
**Density of states at the Fermi level**: 0.29 states/eV/atom
**ΔH_f (0 K)**: -636 meV per atom
**Magnetization**: 0.0 μB/cell

---

5.
A relaxed structure of Cu2TcIrW, computed with PBE-GGA.

a = 4.501 Å, b = 4.501 Å, c = 4.559 Å
α = 90.00°, β = 90.00°, γ = 90.00°
Sites, in units of the cell vectors:
Cu  0.000  0.500  0.000
Cu  0.500  0.000  0.000
Tc  0.000  0.000  0.000
Ir  0.500  0.500  0.500
W  0.000  0.000  0.500

## Properties
**Volume**: 18.47 Å³/atom
**Density of states at the Fermi level**: 1.24 states/eV/atom
**ΔH_f (0 K)**: 1896 meV per atom
**Magnetization**: 0.0 μB/cell

---

6.
A relaxed structure of Pm3YCd6, computed with PBE-GGA.

a = 9.391 Å, b = 5.203 Å, c = 11.159 Å
α = 90.00°, β = 104.78°, γ = 90.00°
Sites, in units of the cell vectors:
Pm  0.025  0.250  0.393
Pm  0.151  0.750  0.215
Pm  0.262  0.250  0.004
Pm  0.738  0.750  0.996
Pm  0.849  0.250  0.785
Pm  0.975  0.750  0.607
Y  0.445  0.250  0.607
Y  0.555  0.750  0.393
Cd  0.051  0.750  0.909
Cd  0.166  0.250  0.708
Cd  0.268  0.750  0.511
Cd  0.355  0.750  0.810
Cd  0.360  0.250  0.310
Cd  0.451  0.750  0.105
Cd  0.549  0.250  0.895
Cd  0.640  0.750  0.690
Cd  0.645  0.250  0.190
Cd  0.732  0.250  0.489
Cd  0.834  0.750  0.292
Cd  0.949  0.250  0.091

## Properties
**Volume**: 26.36 Å³/atom
**Density of states at the Fermi level**: 0.85 states/eV/atom
**ΔH_f (0 K)**: -300 meV per atom
**Magnetization**: 0.8 μB/cell